(1)
Entry from Alexandria via LeMat-Bulk: La2PmThSe4 after structural relaxation (PBE-GGA).

Unit cell a=7.3747 b=4.2429 c=7.3803 alpha=90.00 beta=109.39 gamma=90.00
Space group P2/m (No. 10)
Asymmetric unit:
La: 0.0000 0.0000 0.0000
La: 0.0000 0.5000 0.5000
Pm: 0.5000 0.0000 0.5000
Th: 0.5000 0.5000 0.0000
Se: 0.2567 0.0000 0.7508
Se: 0.2577 0.5000 0.2533

Output
The crystal system is monoclinic. As for the total moment: 0.00 Bohr magnetons per cell. As for the density: 7.399 g/cm³. The value obtained for the formation energy (no corrections) is -1842 meV/atom.


(2)
Entry from Alexandria via LeMat-Bulk: BaTi3I after structural relaxation (PBE-GGA).

Unit cell a=5.1037 b=5.1037 c=5.1037 alpha=90.00 beta=90.00 gamma=90.00
Space group Pm-3m (No. 221)
Asymmetric unit:
Ba: 0.0000 0.0000 0.0000
Ti: 0.0000 0.0000 0.5000
I: 0.5000 0.5000 0.5000

Output
The crystal system is cubic. As for the total moment: 0.00 Bohr magnetons per cell. As for the offset from the most stable computed form: 955.1 meV/atom. As for the density: 5.094 g/cm³. The value obtained for the formation energy (no corrections) is 1825 meV/atom.


(3)
Entry from Alexandria via LeMat-Bulk: Si2TcMo after structural relaxation (PBE-GGA).

Unit cell a=3.1420 b=3.1420 c=5.5748 alpha=90.00 beta=90.00 gamma=90.00
Space group P4mm (No. 99)
Asymmetric unit:
Si: 0.0000 0.0000 0.0000
Si: 0.5000 0.5000 0.2511
Tc: 0.0000 0.0000 0.4606
Mo: 0.5000 0.5000 0.7791

Output
The crystal system is tetragonal. As for the total moment: 0.00 Bohr magnetons per cell. As for the offset from the most stable computed form: 0.0 meV/atom. As for the density: 7.546 g/cm³. The value obtained for the formation energy (no corrections) is -449 meV/atom.


(4)
Entry from Alexandria via LeMat-Bulk: CaHg2 after structural relaxation (PBE-GGA).

Unit cell a=6.5955 b=5.0653 c=9.4731 alpha=90.00 beta=90.00 gamma=90.00
Space group Pnma (No. 62)
Asymmetric unit:
Ca: 0.1648 0.2500 0.1081
Hg: 0.0861 0.2500 0.7690
Hg: 0.1546 0.2500 0.4409

Output
The crystal system is orthorhombic. As for the total moment: 0.00 Bohr magnetons per cell. As for the density: 9.261 g/cm³. As for the energy relative to the elements: -0.43 eV per atom.


(5)
Entry from Alexandria via LeMat-Bulk: CuNiBCl2 after structural relaxation (PBE-GGA).

Unit cell a=4.8091 b=4.8091 c=3.7317 alpha=90.00 beta=90.00 gamma=90.00
Space group P4/mmm (No. 123)
Asymmetric unit:
Cu: 0.0000 0.0000 0.0000
Ni: 0.5000 0.5000 0.5000
B: 0.5000 0.5000 0.0000
Cl: 0.0000 0.5000 0.5000

Output
The crystal system is tetragonal. As for the total moment: 0.00 Bohr magnetons per cell. As for the density: 3.924 g/cm³. The value obtained for the formation energy (no corrections) is 583 meV/atom.


(6)
Entry from Alexandria via LeMat-Bulk: CeY2Tm3Te6 after structural relaxation (PBE-GGA).

Unit cell a=19.0902 b=4.3160 c=8.7949 alpha=90.00 beta=104.47 gamma=90.00
Space group C2/m (No. 12)
Asymmetric unit:
Ce: 0.0000 0.0000 0.0000
Y: 0.1627 0.5000 0.3256
Tm: 0.0000 0.0000 0.5000
Tm: 0.1643 0.5000 0.8326
Te: 0.0017 0.5000 0.7395
Te: 0.1673 0.0000 0.5853
Te: 0.1717 0.0000 0.0803

Output
The crystal system is monoclinic. As for the total moment: 2.73 Bohr magnetons per cell. As for the density: 7.527 g/cm³. The value obtained for the formation energy (no corrections) is -1255 meV/atom.


(7)
Entry from Alexandria via LeMat-Bulk: Ac8Pt3Se4Br after structural relaxation (PBE-GGA).

Unit cell a=15.2765 b=8.8193 c=9.1960 alpha=90.00 beta=123.62 gamma=90.00
Space group C2/m (No. 12)
Asymmetric unit:
Ac: 0.0064 0.2389 0.2583
Ac: 0.2407 0.0000 0.7229
Ac: 0.2461 0.0000 0.2598
Pt: 0.0000 0.0000 0.5000
Pt: 0.2500 0.2500 0.5000
Se: 0.0000 0.0000 0.0000
Se: 0.0000 0.5000 0.0000
Se: 0.2500 0.2500 0.0000
Br: 0.0000 0.5000 0.5000

Output
The crystal system is monoclinic. As for the total moment: 0.00 Bohr magnetons per cell. As for the density: 9.003 g/cm³. The value obtained for the formation energy (no corrections) is -1517 meV/atom.


(8)
Entry from Alexandria via LeMat-Bulk: Zr2HgAs after structural relaxation (PBE-GGA).

Unit cell a=3.2928 b=3.2928 c=28.7605 alpha=90.00 beta=90.00 gamma=120.00
Space group R3m (No. 160, hexagonal axes)
Asymmetric unit:
Zr: 0.0000 0.0000 0.0000
Zr: 0.0000 0.0000 0.2473
Hg: 0.0000 0.0000 0.4943
As: 0.0000 0.0000 0.7410

Output
The crystal system is trigonal. As for the total moment: 0.00 Bohr magnetons per cell. As for the offset from the most stable computed form: 508.2 meV/atom. As for the density: 8.448 g/cm³. As for the energy relative to the elements: -0.09 eV per atom.


(9)
Entry from Alexandria via LeMat-Bulk: CaLa2Bi2 after structural relaxation (PBE-GGA).

Unit cell a=9.1316 b=9.1316 c=4.1699 alpha=90.00 beta=90.00 gamma=90.00
Space group P4/mbm (No. 127)
Asymmetric unit:
Ca: 0.0000 0.0000 0.0000
La: 0.1337 0.3663 0.0000
Bi: 0.1681 0.6681 0.5000

Output
The crystal system is tetragonal. As for the total moment: 0.00 Bohr magnetons per cell. As for the offset from the most stable computed form: 264.5 meV/atom. As for the density: 7.028 g/cm³. As for the energy relative to the elements: -0.62 eV per atom.


(10)
Entry from Alexandria via LeMat-Bulk: BaIn2AgGe after structural relaxation (PBE-GGA).

Unit cell a=4.6296 b=4.8560 c=12.0396 alpha=90.00 beta=90.00 gamma=90.00
Space group Imm2 (No. 44)
Asymmetric unit:
Ba: 0.0000 0.0000 0.0000
In: 0.0000 0.0000 0.3782
In: 0.0000 0.5000 0.2420
Ag: 0.0000 0.5000 0.7330
Ge: 0.0000 0.0000 0.6079

Output
The crystal system is orthorhombic. As for the total moment: 0.00 Bohr magnetons per cell. As for the density: 6.717 g/cm³. As for the energy relative to the elements: -0.33 eV per atom.


(11)
Entry from Alexandria via LeMat-Bulk: TaReI2 after structural relaxation (PBE-GGA).

Unit cell a=6.1775 b=6.1775 c=11.8405 alpha=90.00 beta=90.00 gamma=90.00
Space group I-42d (No. 122)
Asymmetric unit:
Ta: 0.0000 0.0000 0.0000
Re: 0.0000 0.0000 0.5000
I: 0.2330 0.2500 0.6250

Output
The crystal system is tetragonal. As for the total moment: 4.31 Bohr magnetons per cell. As for the offset from the most stable computed form: 367.1 meV/atom. As for the density: 9.128 g/cm³. The value obtained for the formation energy (no corrections) is 1720 meV/atom.


(12)
Entry from Alexandria via LeMat-Bulk: Sc5Os2O12 after structural relaxation (PBE-GGA).

Unit cell a=11.8012 b=5.4795 c=7.1588 alpha=90.00 beta=107.15 gamma=90.00
Space group C2/m (No. 12)
Asymmetric unit:
Sc: 0.0000 0.0000 0.0000
Sc: 0.1885 0.5000 0.3069
Sc: 0.2059 0.5000 0.8618
Os: 0.0000 0.2217 0.5000
O: 0.0062 0.5000 0.3168
O: 0.0141 0.0000 0.2937
O: 0.1489 0.2518 0.0620
O: 0.1746 0.2546 0.6097

Output
The crystal system is monoclinic. As for the total moment: 1.79 Bohr magnetons per cell. As for the density: 5.986 g/cm³. The value obtained for the formation energy (no corrections) is -2595 meV/atom.


(13)
Entry from Alexandria via LeMat-Bulk: Y2Mn16W after structural relaxation (PBE-GGA).

Unit cell a=8.6918 b=8.6918 c=11.7866 alpha=90.00 beta=90.00 gamma=120.00
Space group R3m (No. 160, hexagonal axes)
Asymmetric unit:
Y: 0.0000 0.0000 0.0000
Y: 0.0000 0.0000 0.2891
Mn: 0.0000 0.0000 0.7518
Mn: 0.9997 0.4999 0.1460
Mn: 0.0009 0.2783 0.6482
Mn: 0.0136 0.5068 0.5078
Mn: 0.1717 0.3433 0.1152
W: 0.0000 0.0000 0.5479

Output
The crystal system is trigonal. As for the total moment: 16.52 Bohr magnetons per cell. As for the density: 8.015 g/cm³. As for the energy relative to the elements: 0.02 eV per atom.


(14)
Entry from Alexandria via LeMat-Bulk: HfTl after structural relaxation (PBE-GGA).

Unit cell a=3.1743 b=13.3537 c=7.4199 alpha=90.00 beta=90.00 gamma=90.00
Space group Imm2 (No. 44)
Asymmetric unit:
Hf: 0.0000 0.0000 0.0000
Hf: 0.0000 0.3870 0.2233
Tl: 0.0000 0.0000 0.4046
Tl: 0.0000 0.3079 0.6330

Output
The crystal system is orthorhombic. As for the total moment: 0.00 Bohr magnetons per cell. As for the density: 12.128 g/cm³. As for the energy relative to the elements: 0.22 eV per atom.


(15)
Entry from Alexandria via LeMat-Bulk: CsNbSi2 after structural relaxation (PBE-GGA).

Unit cell a=6.3023 b=6.3023 c=15.2468 alpha=90.00 beta=90.00 gamma=90.00
Space group I4_1/amd (No. 141, origin choice 2)
Asymmetric unit:
Cs: 0.0000 0.2500 0.3750
Nb: 0.0000 0.2500 0.8750
Si: 0.0000 0.0000 0.0000

Output
The crystal system is tetragonal. As for the total moment: 0.00 Bohr magnetons per cell. As for the density: 3.093 g/cm³. The value obtained for the formation energy (no corrections) is 501 meV/atom.


(16)
Entry from Alexandria via LeMat-Bulk: YCrBr2 after structural relaxation (PBE-GGA).

Unit cell a=3.6529 b=3.6529 c=28.0543 alpha=90.00 beta=90.00 gamma=120.00
Space group R-3m (No. 166, hexagonal axes)
Asymmetric unit:
Y: 0.0000 0.0000 0.0000
Cr: 0.0000 0.0000 0.5000
Br: 0.0000 0.0000 0.4061

Output
The crystal system is trigonal. As for the total moment: 13.83 Bohr magnetons per cell. As for the offset from the most stable computed form: 113.8 meV/atom. As for the density: 4.621 g/cm³. The value obtained for the formation energy (no corrections) is -467 meV/atom.


(17)
Entry from Alexandria via LeMat-Bulk: Tb6HoErTh2 after structural relaxation (PBE-GGA).

Unit cell a=8.9217 b=14.7176 c=10.1126 alpha=90.00 beta=102.55 gamma=90.00
Space group C2/c (No. 15)
Asymmetric unit:
Tb: 0.0738 0.1872 0.4481
Tb: 0.0929 0.4000 0.6175
Tb: 0.2015 0.2231 0.8221
Ho: 0.0000 0.0100 0.7500
Er: 0.0000 0.4029 0.2500
Th: 0.2274 0.0451 0.0434

Output
The crystal system is monoclinic. As for the total moment: 0.00 Bohr magnetons per cell. As for the density: 8.967 g/cm³. As for the energy relative to the elements: 0.15 eV per atom.


(18)
Entry from Alexandria via LeMat-Bulk: TaBe4Si after structural relaxation (PBE-GGA).

Unit cell a=6.3250 b=6.3250 c=6.3250 alpha=90.00 beta=90.00 gamma=90.00
Space group F-43m (No. 216)
Asymmetric unit:
Ta: 0.0000 0.0000 0.0000
Be: 0.1276 0.1276 0.6276
Si: 0.2500 0.2500 0.2500

Output
The crystal system is cubic. As for the total moment: 1.98 Bohr magnetons per cell. As for the density: 6.433 g/cm³. The value obtained for the formation energy (no corrections) is 117 meV/atom.


(19)
Entry from Alexandria via LeMat-Bulk: PtRhN2F after structural relaxation (PBE-GGA).

Unit cell a=3.7125 b=3.7125 c=5.8231 alpha=90.00 beta=90.00 gamma=90.00
Space group P4/mmm (No. 123)
Asymmetric unit:
Pt: 0.0000 0.0000 0.0000
Rh: 0.5000 0.5000 0.5000
N: 0.0000 0.5000 0.0000
F: 0.0000 0.0000 0.5000

Output
The crystal system is tetragonal. As for the total moment: 0.91 Bohr magnetons per cell. As for the offset from the most stable computed form: 150.1 meV/atom. As for the density: 7.138 g/cm³. The value obtained for the formation energy (no corrections) is 1283 meV/atom.


(20)
Entry from Alexandria via LeMat-Bulk: La7Tb3Cd after structural relaxation (PBE-GGA).

Unit cell a=11.5863 b=10.4722 c=6.5326 alpha=90.00 beta=91.57 gamma=90.00
Space group C2/m (No. 12)
Asymmetric unit:
La: 0.0000 0.0000 0.0000
La: 0.2148 0.1735 0.7191
La: 0.2406 0.5000 0.8005
Tb: 0.0000 0.3381 0.0000
Tb: 0.0000 0.5000 0.5000
Cd: 0.0000 0.0000 0.5000

Output
The crystal system is monoclinic. As for the total moment: 0.00 Bohr magnetons per cell. As for the density: 6.545 g/cm³. As for the energy relative to the elements: 0.17 eV per atom.